Record 1
A geometry-optimized Sm2YAg4Sn4 structure, computed with PBE.

abc: 8.852 8.852 8.852
angles: 149.52 131.27 58.58
Element x y z (fractional)
Sm (0.128, 0.128, 0.000)
Sm (0.872, 0.872, 0.000)
Y (0.500, 0.000, 0.500)
Ag (0.130, 0.328, 0.802)
Ag (0.473, 0.672, 0.802)
Ag (0.527, 0.328, 0.198)
Ag (0.870, 0.672, 0.198)
Sn (0.199, 0.500, 0.699)
Sn (0.288, 0.788, 0.500)
Sn (0.712, 0.212, 0.500)
Sn (0.801, 0.500, 0.301)

For the raw total energy, the calculation gives -4.455 eV per atom.


Record 2
A geometry-optimized SmTaAg structure, computed with PBE.

abc: 6.848 6.848 6.848
angles: 90.00 90.00 90.00
Element x y z (fractional)
Sm (0.000, 0.000, 0.000)
Sm (0.000, 0.500, 0.500)
Sm (0.500, 0.000, 0.500)
Sm (0.500, 0.500, 0.000)
Ta (0.250, 0.250, 0.250)
Ta (0.250, 0.750, 0.750)
Ta (0.750, 0.250, 0.750)
Ta (0.750, 0.750, 0.250)
Ag (0.250, 0.250, 0.750)
Ag (0.250, 0.750, 0.250)
Ag (0.750, 0.250, 0.250)
Ag (0.750, 0.750, 0.750)

The value obtained for the energy of formation from the pure elements is 1.4021 eV per atom.


Record 3
A geometry-optimized Tb4SmAg5 structure, computed with PBE.

abc: 3.644 3.644 18.335
angles: 90.00 90.00 90.00
Element x y z (fractional)
Tb (0.000, 0.000, 0.099)
Tb (0.000, 0.000, 0.298)
Tb (0.000, 0.000, 0.702)
Tb (0.000, 0.000, 0.901)
Sm (0.000, 0.000, 0.500)
Ag (0.500, 0.500, 0.000)
Ag (0.500, 0.500, 0.199)
Ag (0.500, 0.500, 0.395)
Ag (0.500, 0.500, 0.605)
Ag (0.500, 0.500, 0.801)

The value obtained for the energy of formation from the pure elements is -0.3201 eV per atom.


Record 4
A geometry-optimized TbSmAg4 structure, computed with PBE.

abc: 3.743 3.743 9.325
angles: 90.00 90.00 90.00
Element x y z (fractional)
Tb (0.000, 0.000, 0.000)
Sm (0.500, 0.500, 0.500)
Ag (0.000, 0.000, 0.325)
Ag (0.000, 0.000, 0.675)
Ag (0.500, 0.500, 0.168)
Ag (0.500, 0.500, 0.832)

The value obtained for the energy of formation from the pure elements is -0.3031 eV per atom.


Record 5
A geometry-optimized TbSmAg structure, computed with PBE.

abc: 7.009 7.009 7.009
angles: 90.00 90.00 90.00
Element x y z (fractional)
Tb (0.000, 0.000, 0.000)
Tb (0.000, 0.500, 0.500)
Tb (0.500, 0.000, 0.500)
Tb (0.500, 0.500, 0.000)
Sm (0.250, 0.250, 0.750)
Sm (0.250, 0.750, 0.250)
Sm (0.750, 0.250, 0.250)
Sm (0.750, 0.750, 0.750)
Ag (0.000, 0.000, 0.500)
Ag (0.000, 0.500, 0.000)
Ag (0.500, 0.000, 0.000)
Ag (0.500, 0.500, 0.500)

The value obtained for the energy of formation from the pure elements is 0.5383 eV per atom.


Record 6
A geometry-optimized SmAgTe structure, computed with PBE.

abc: 7.227 7.227 7.227
angles: 90.00 90.00 90.00
Element x y z (fractional)
Sm (0.000, 0.000, 0.000)
Sm (0.000, 0.500, 0.500)
Sm (0.500, 0.000, 0.500)
Sm (0.500, 0.500, 0.000)
Ag (0.250, 0.250, 0.750)
Ag (0.250, 0.750, 0.250)
Ag (0.750, 0.250, 0.250)
Ag (0.750, 0.750, 0.750)
Te (0.250, 0.250, 0.250)
Te (0.250, 0.750, 0.750)
Te (0.750, 0.250, 0.750)
Te (0.750, 0.750, 0.250)

For the offset from the most stable computed form, the calculation gives 0.000 eV per atom.


Number 1: size of the total moment 0.015 Bohr magnetons per cell. Number 2: size of the total moment 8.501 Bohr magnetons per cell. Number 3: size of the total moment 0.027 Bohr magnetons per cell. Number 4: size of the total moment 0.005 Bohr magnetons per cell. Number 5: size of the total moment 0.013 Bohr magnetons per cell. Number 6: size of the total moment 0.000 Bohr magnetons per cell.